No. 1
Sr2CePrCu3Pb2O10, PBEsol geometry, DFT SCAN; total DFT energy (no corrections) = -433.31 eV/cell; formation energy (no corrections) = -3993.8 kJ/mol of formula units; crystal system = monoclinic; calculated volume = 270 Å³ per cell
1.0
18.503 -1.908 0.000
18.503 1.908 0.000
-0.309 0.000 3.824
Sr Ce Pr Cu Pb O
2 1 1 3 2 10
Cartesian
0.000 0.000 0.000 Sr
8.629 0.000 1.129 Sr
12.180 0.000 1.415 Ce
33.155 0.000 3.540 Pr
4.338 0.000 0.565 Cu
16.624 0.000 1.773 Cu
28.748 0.000 3.185 Cu
20.977 0.000 2.235 Pb
24.372 0.000 2.719 Pb
2.296 0.000 3.772 O
6.075 0.000 1.181 O
10.449 0.000 3.200 O
13.222 0.000 3.424 O
16.289 0.000 3.671 O
18.846 0.000 1.938 O
26.525 0.000 3.024 O
29.102 0.000 1.289 O
31.883 0.000 1.512 O
34.931 0.000 1.759 O

=====

No. 2
Li2Mg, PBEsol geometry, DFT SCAN; total DFT energy (no corrections) = -9.86 eV/cell; crystal system = tetragonal; E_form = -10 kJ/mol of formula units; calculated volume = 60 Å³ per cell
1.0
-1.579 1.579 5.980
1.579 -1.579 5.980
1.579 1.579 -5.980
Li Mg
2 1
Cartesian
0.000 0.000 2.038 Li
0.000 0.000 9.922 Li
0.000 0.000 5.980 Mg

=====

No. 3
LaZrW2, PBEsol geometry, DFT SCAN; total DFT energy (no corrections) = -210.64 eV/cell; crystal system = orthorhombic; E_form = 245 kJ/mol of formula units; ΔE to the lowest computed polymorph = 0.0132 eV per atom; calculated volume = 78 Å³ per cell
1.0
1.632 -2.393 0.000
1.632 2.393 0.000
0.000 0.000 9.943
La Zr W
1 1 2
Cartesian
0.000 0.000 0.000 La
0.000 0.000 4.971 Zr
1.632 0.000 2.668 W
1.632 0.000 7.274 W

=====

No. 4
MnIn2Ag, PBEsol geometry, DFT SCAN; total DFT energy (no corrections) = -116.38 eV/cell; crystal system = tetragonal; E_form = 1 kJ/mol of formula units; calculated volume = 72 Å³ per cell
1.0
4.319 0.000 0.000
0.000 4.319 0.000
0.000 0.000 3.858
Mn In Ag
1 2 1
Cartesian
0.000 0.000 0.000 Mn
0.000 2.159 1.929 In
2.159 0.000 1.929 In
2.159 2.159 0.000 Ag

=====

No. 5
ScTa2Cl, PBEsol geometry, DFT SCAN; total DFT energy (no corrections) = -153.27 eV/cell; formation energy (no corrections) = 203.4 kJ/mol of formula units; crystal system = tetragonal; ΔE to the lowest computed polymorph = 0.7871 eV per atom; calculated volume = 72 Å³ per cell
1.0
-2.168 2.168 3.826
2.168 -2.168 3.826
2.168 2.168 -3.826
Sc Ta Cl
1 2 1
Cartesian
0.000 0.000 0.000 Sc
0.000 0.000 3.826 Ta
0.000 2.168 1.913 Ta
2.168 0.000 1.913 Cl

=====

No. 6
CuAg3, PBEsol geometry, DFT SCAN; total DFT energy (no corrections) = -108.96 eV/cell; crystal system = trigonal; E_form = 33 kJ/mol of formula units; calculated volume = 62 Å³ per cell
1.0
1.411 0.815 8.938
-1.411 0.815 8.938
0.000 -1.630 8.938
Cu Ag
1 3
Cartesian
0.000 0.000 0.000 Cu
0.000 0.000 6.834 Ag
0.000 0.000 13.406 Ag
0.000 0.000 19.979 Ag

=====

Repeat the second record exactly.
Li2Mg, PBEsol geometry, DFT SCAN; total DFT energy (no corrections) = -9.86 eV/cell; crystal system = tetragonal; E_form = -10 kJ/mol of formula units; calculated volume = 60 Å³ per cell
1.0
-1.579 1.579 5.980
1.579 -1.579 5.980
1.579 1.579 -5.980
Li Mg
2 1
Cartesian
0.000 0.000 2.038 Li
0.000 0.000 9.922 Li
0.000 0.000 5.980 Mg

=====

> Among the records above, which one has the lowest calculated volume?

Li2Mg

=====

> Which value of calculated volume does entry 2 give?

60 Å³ per cell